# 1
A plane-wave DFT calculation with meta-GGA SCAN was carried out for a crystal of Zn3In relaxed with PBEsol.

Computed properties:
space-group type	P4/mmm
energy of formation	0.13	eV/atom

Cell: 2.893 2.893 8.090 Å, 90.00 90.00 90.00°
Fractional positions:
1 Zn 0.500 0.500 0.715
2 Zn 0.000 0.000 0.500
3 Zn 0.500 0.500 0.285
4 In 0.000 0.000 0.000

=====

# 2
A plane-wave DFT calculation with meta-GGA SCAN was carried out for a crystal of YCoC relaxed with PBEsol.

Computed properties:
energy above the most stable polymorph in this dataset	0.000	eV/f.u.
space-group type	P4_2/mmc
energy of formation	-0.35	eV/atom

Cell: 3.580 3.580 6.843 Å, 90.00 90.00 90.00°
Fractional positions:
1 Co 0.500 0.500 0.000
2 C 0.000 0.500 0.000
3 Co 0.500 0.500 0.500
4 Y 0.000 0.000 0.750
5 C 0.500 0.000 0.500
6 Y 0.000 0.000 0.250

=====

# 3
A plane-wave DFT calculation with meta-GGA SCAN was carried out for a crystal of YSc2Tl relaxed with PBEsol.

Computed properties:
energy above the most stable polymorph in this dataset	0.000	eV/f.u.
space-group type	P4/mmm
energy of formation	-0.34	eV/atom

Cell: 4.574 4.574 4.563 Å, 90.00 90.00 90.00°
Fractional positions:
1 Sc 0.500 0.000 0.000
2 Y 0.000 0.000 0.500
3 Sc 0.000 0.500 0.000
4 Tl 0.500 0.500 0.500

=====

# 4
A plane-wave DFT calculation with meta-GGA SCAN was carried out for a crystal of YSc2IrRu relaxed with PBEsol.

Computed properties:
space-group type	P4/mmm
energy of formation	-0.10	eV/atom

Cell: 4.854 4.854 4.867 Å, 90.00 90.00 90.00°
Fractional positions:
1 Ru 0.000 0.000 0.500
2 Sc 0.500 0.000 0.000
3 Sc 0.000 0.500 0.000
4 Ir 0.000 0.000 0.000
5 Y 0.500 0.500 0.500

=====

# 5
A plane-wave DFT calculation with meta-GGA SCAN was carried out for a crystal of Mg2FeO4 relaxed with PBEsol.

Computed properties:
raw formation energy	-2.253	eV/atom
space-group type	Fd-3m

Cell: 5.881 5.881 5.881 Å, 60.00 60.00 60.00°
Fractional positions:
1 O 0.374 0.374 0.878
2 O 0.876 0.876 0.372
3 O 0.372 0.876 0.876
4 O 0.876 0.876 0.876
5 Mg 0.125 0.125 0.625
6 Mg 0.625 0.125 0.125
7 O 0.878 0.374 0.374
8 Fe 0.500 0.500 0.500
9 O 0.374 0.878 0.374
10 Mg 0.125 0.625 0.125
11 Fe 0.750 0.750 0.750
12 Mg 0.125 0.125 0.125
13 O 0.876 0.372 0.876
14 O 0.374 0.374 0.374

=====

# 6
A plane-wave DFT calculation with meta-GGA SCAN was carried out for a crystal of Rb2MgP relaxed with PBEsol.

Computed properties:
space-group type	I-42d
energy of formation	-0.21	eV/atom

Cell: 4.858 9.621 9.621 Å, 86.35 75.38 75.38°
Fractional positions:
1 Mg 0.500 0.000 0.000
2 Rb 0.821 0.804 0.304
3 P 0.750 0.500 0.500
4 Rb 0.929 0.196 0.696
5 Mg 0.250 0.500 0.500
6 Rb 0.375 0.696 0.804
7 Rb 0.875 0.304 0.196
8 P 0.000 0.000 0.000

=====

Values for electronic total energy, eV/atom, ordered as above
-18.355 -18.768 -32.512 -32.553 -9.824 -14.422